(1)
Density functional theory data (PBE) for a relaxed VIrI2N crystal.

Summary:
For the uncorrected formation energy, the calculation gives 0.93 eV per atom.

Cell and atoms, written as CIF:
```
data_VIrI2N
_space_group_name_H-M_alt 'P 4/m m m'
_space_group_IT_number 123
_space_group_name_Hall '-P 4 2'
_cell_length_a 5.6378
_cell_length_b 5.6378
_cell_length_c 3.6872
_cell_angle_alpha 90.00
_cell_angle_beta 90.00
_cell_angle_gamma 90.00
loop_
_atom_site_label
_atom_site_type_symbol
_atom_site_fract_x
_atom_site_fract_y
_atom_site_fract_z
V1 V 0.0000 0.0000 0.0000
Ir1 Ir 0.5000 0.5000 0.5000
I1 I 0.0000 0.5000 0.5000
N1 N 0.5000 0.5000 0.0000
```

***

(2)
Density functional theory data (PBE) for a relaxed CsSrO3 crystal.

Summary:
For the uncorrected formation energy, the calculation gives -0.57 eV per atom.

Cell and atoms, written as CIF:
```
data_CsSrO3
_space_group_name_H-M_alt 'P m -3 m'
_space_group_IT_number 221
_space_group_name_Hall '-P 4 2 3'
_cell_length_a 4.5025
_cell_length_b 4.5025
_cell_length_c 4.5025
_cell_angle_alpha 90.00
_cell_angle_beta 90.00
_cell_angle_gamma 90.00
loop_
_atom_site_label
_atom_site_type_symbol
_atom_site_fract_x
_atom_site_fract_y
_atom_site_fract_z
Cs1 Cs 0.0000 0.0000 0.0000
Sr1 Sr 0.5000 0.5000 0.5000
O1 O 0.0000 0.0000 0.5000
```

***

(3)
Density functional theory data (PBE) for a relaxed TmNb2Mo crystal.

Summary:
The calculation puts the calculated formation energy at 0.122 eV per atom.

Cell and atoms, written as CIF:
```
data_TmNb2Mo
_space_group_name_H-M_alt 'P 4/m m m'
_space_group_IT_number 123
_space_group_name_Hall '-P 4 2'
_cell_length_a 3.2852
_cell_length_b 3.2852
_cell_length_c 7.3296
_cell_angle_alpha 90.00
_cell_angle_beta 90.00
_cell_angle_gamma 90.00
loop_
_atom_site_label
_atom_site_type_symbol
_atom_site_fract_x
_atom_site_fract_y
_atom_site_fract_z
Tm1 Tm 0.0000 0.0000 0.0000
Nb1 Nb 0.5000 0.5000 0.2927
Mo1 Mo 0.0000 0.0000 0.5000
```

***

(4)
Density functional theory data (PBE) for a relaxed Er2USiC4 crystal.

Summary:
For the uncorrected formation energy, the calculation gives -0.01 eV per atom.

Cell and atoms, written as CIF:
```
data_Er2USiC4
_space_group_name_H-M_alt 'C m c m'
_space_group_IT_number 63
_space_group_name_Hall '-C 2c 2'
_cell_length_a 3.3990
_cell_length_b 11.1714
_cell_length_c 11.8221
_cell_angle_alpha 90.00
_cell_angle_beta 90.00
_cell_angle_gamma 90.00
loop_
_atom_site_label
_atom_site_type_symbol
_atom_site_fract_x
_atom_site_fract_y
_atom_site_fract_z
Er1 Er 0.0000 0.1342 0.0496
U1 U 0.0000 0.3953 0.2500
Si1 Si 0.0000 0.3383 0.7500
C1 C 0.0000 0.0554 0.2500
C2 C 0.0000 0.2225 0.6366
C3 C 0.0000 0.5000 0.0000
```